No. 1
Entry from Alexandria: K2ReS5 after structural relaxation (PBE-GGA).

## Properties
total energy	-39.97	eV per cell
formation energy without anion corrections	-0.59	eV per atom
M_tot	1.0	μB per formula unit
N(E_F)	1.642	states/eV/f.u.

Unit cell a=7.244 b=7.264 c=6.859 alpha=121.87 beta=119.69 gamma=90.23
Fractional coordinates of all 8 atoms:
K 0.255 0.758 0.513
K 0.788 0.265 0.529
Re 0.908 0.949 0.898
S 0.811 0.262 0.037
S 0.261 0.169 0.050
S 0.809 0.775 0.037
S 0.259 0.878 0.047
S 0.686 0.721 0.442



No. 2
Entry from Alexandria: K3ReS after structural relaxation (PBE-GGA).

## Properties
total energy	-16.30	eV per cell
relative energy among the computed polymorphs	0	meV/atom
formation energy without anion corrections	0.71	eV per atom
M_tot	4.0	μB per formula unit
N(E_F)	5.704	states/eV/f.u.

Unit cell a=6.030 b=6.030 c=6.030 alpha=90.00 beta=90.00 gamma=90.00
Fractional coordinates of all 5 atoms:
Re 0.500 0.500 0.500
K 0.000 0.500 0.000
K 0.000 0.000 0.500
K 0.500 0.000 0.000
S 0.000 0.000 0.000



> M_tot of number 1 (K2ReS5)?

1.0 μB per formula unit



> Which of these has the lowest N(E_F)?

K2ReS5



> Among the records above, which one has the lowest M_tot?

K2ReS5